[1]
Pm2YScO6 PBE optimized geometry; total magnetic moment = 0.0 Bohr magnetons per cell; raw formation energy = -3.43 eV/atom; total DFT energy (no corrections) = -8.64 eV/atom
1.0
2.912 1.681 4.973
-2.912 1.681 4.973
0.000 -3.363 4.973
Pm Y Sc O
2 1 1 6
Cartesian
0.000 0.000 0.000
0.000 0.000 7.438
0.000 0.000 3.323
0.000 0.000 10.727
-1.055 -1.967 6.728
-1.643 0.135 9.269
-1.176 1.898 6.728
0.704 -1.490 9.269
2.231 0.070 6.728
0.938 1.355 9.269

---

[2]
Pm2ScZnO6 PBE optimized geometry; total magnetic moment = 2.1 Bohr magnetons per cell; raw formation energy = -2.78 eV/atom; total DFT energy (no corrections) = -7.47 eV/atom
1.0
5.522 0.000 0.000
0.000 5.828 0.000
-5.406 0.000 7.927
Pm Sc Zn O
4 2 2 12
Cartesian
-0.081 0.387 1.969
-2.784 2.527 5.932
2.900 3.301 1.995
0.197 5.441 5.958
2.761 0.000 0.000
0.058 2.914 3.964
-2.703 0.000 3.964
0.000 2.914 0.000
-4.330 1.134 7.470
-1.627 1.780 3.507
-3.731 4.069 7.465
-1.028 4.673 3.501
-2.052 0.239 5.932
0.651 2.675 1.968
-0.535 3.153 5.959
2.168 5.589 1.995
1.145 1.155 4.426
3.848 1.759 0.463
1.743 4.048 4.420
4.446 4.694 0.457

---

[3]
Pm2ZrScO6 PBE optimized geometry; total magnetic moment = 2.0 Bohr magnetons per cell; raw formation energy = -3.28 eV/atom; total DFT energy (no corrections) = -8.69 eV/atom
1.0
5.609 0.000 0.000
0.000 6.018 0.000
-5.322 0.000 7.997
Pm Zr Sc O
4 2 2 12
Cartesian
-0.053 0.398 1.976
-2.714 2.611 5.975
3.001 3.408 2.022
0.340 5.620 6.021
-2.661 0.000 3.999
0.000 3.009 0.000
2.804 0.000 0.000
0.143 3.009 3.999
-4.259 1.126 7.540
-1.598 1.883 3.542
-3.582 4.224 7.510
-0.921 4.804 3.512
-1.876 0.322 5.979
0.785 2.687 1.981
-0.498 3.331 6.016
2.163 5.697 2.018
1.208 1.215 4.486
3.869 1.794 0.487
1.885 4.135 4.455
4.546 4.892 0.457